Below is a relaxed Cr3ReIr12 crystal, with properties calculated at the PBE level.

Results
**ΔE_f**: -0.20 eV per atom
**Space group**: P4/mmm (123)
**Density of states at the Fermi level**: 13.94 states/eV/cell

abc: 3.8411 3.8411 15.3777
angles: 90.00 90.00 90.00
Closest atoms and distances in Å follow each position.
Sites, in units of the cell vectors:
Cr 0.0000 0.0000 0.0000  12 Ir 2.71-2.72
Cr 0.0000 0.0000 0.2438  12 Ir 2.65-2.78
Cr 0.0000 0.0000 0.7562  12 Ir 2.65-2.78
Re 0.0000 0.0000 0.5000  12 Ir 2.72
Ir 0.0000 0.5000 0.1247  4 Cr 2.65-2.71, 8 Ir 2.71-2.72
Ir 0.0000 0.5000 0.3747  8 Ir 2.72, 2 Re 2.72, 2 Cr 2.78
Ir 0.0000 0.5000 0.6253  8 Ir 2.72, 2 Re 2.72, 2 Cr 2.78
Ir 0.0000 0.5000 0.8753  4 Cr 2.65-2.71, 8 Ir 2.71-2.72
Ir 0.5000 0.0000 0.1247  4 Cr 2.65-2.71, 8 Ir 2.71-2.72
Ir 0.5000 0.0000 0.3747  8 Ir 2.72, 2 Re 2.72, 2 Cr 2.78
Ir 0.5000 0.0000 0.6253  8 Ir 2.72, 2 Re 2.72, 2 Cr 2.78
Ir 0.5000 0.0000 0.8753  4 Cr 2.65-2.71, 8 Ir 2.71-2.72
Ir 0.5000 0.5000 0.0000  8 Ir 2.71, 4 Cr 2.72
Ir 0.5000 0.5000 0.2497  8 Ir 2.72, 4 Cr 2.72
Ir 0.5000 0.5000 0.5000  4 Re 2.72, 8 Ir 2.72
Ir 0.5000 0.5000 0.7503  8 Ir 2.72, 4 Cr 2.72